Material: Er2TiMnO6
Method: DFT, GGA+U
State: optimized geometry

Electronic total energy: -8.3106 eV per atom

```
Er2TiMnO6
1.0
5.197 0.000 0.000
0.000 5.197 0.000
0.000 0.000 5.050
Er Ti Mn O
2 1 1 6
Cartesian
0.000 2.598 0.000
2.598 0.000 0.000
0.000 0.000 3.067
2.598 2.598 2.874
0.000 0.000 1.224
1.250 1.250 3.805
1.250 3.947 3.805
2.598 2.598 0.879
3.947 1.250 3.805
3.947 3.947 3.805
```